No. 1
# RbTmCuBr6

An optimized crystal structure of RbTmCuBr6 (PBE, Alexandria via LeMat-Bulk).

a b c (Å): 7.587 6.902 7.695
angles (deg): 86.33 82.95 56.41
Sites, in units of the cell vectors:
Br 0.373 0.036 0.708
Br 0.633 0.384 0.758
Br 0.593 0.027 0.288
Br 0.374 0.628 0.334
Tm 0.679 0.639 0.502
Rb 0.033 0.938 0.000
Br 0.996 0.638 0.663
Cu 0.326 0.336 0.494
Br 0.993 0.374 0.252

Computed properties:
Calculated total energy = -3.4768 eV per atom
Density = 3975 kg/m3
Formation energy from raw total energies = -1.302 eV/atom

No. 2
# Rb2TmCuBr6

An optimized crystal structure of Rb2TmCuBr6 (PBE, Alexandria via LeMat-Bulk).

a b c (Å): 7.639 7.639 7.803
angles (deg): 60.55 60.56 89.77
Sites, in units of the cell vectors:
Rb 0.250 0.750 0.500
Br 0.255 0.256 0.000
Br 0.745 0.744 0.000
Cu 0.500 0.500 0.000
Br 0.743 0.256 0.000
Rb 0.750 0.250 0.500
Br 0.257 0.744 0.000
Br 0.246 0.246 0.509
Tm 0.000 0.000 0.000
Br 0.754 0.754 0.491

Computed properties:
Calculated total energy = -3.5241 eV per atom
Density = 4471 kg/m3
Formation energy from raw total energies = -1.470 eV/atom

No. 3
# RbUCuBr6

An optimized crystal structure of RbUCuBr6 (PBE, Alexandria via LeMat-Bulk).

a b c (Å): 8.068 8.068 7.403
angles (deg): 92.43 87.57 49.38
Sites, in units of the cell vectors:
Br 0.401 0.688 0.288
Br 0.688 0.401 0.713
Br 0.022 0.617 0.672
Br 0.343 0.022 0.756
Cu 0.247 0.247 0.500
Rb 0.982 0.981 0.000
Br 0.022 0.343 0.244
Br 0.617 0.022 0.328
U 0.678 0.678 0.500

Computed properties:
Calculated total energy = -4.1239 eV per atom
Density = 3954 kg/m3
Formation energy from raw total energies = -1.192 eV/atom

No. 4
# Rb2UCuBr6

An optimized crystal structure of Rb2UCuBr6 (PBE, Alexandria via LeMat-Bulk).

a b c (Å): 6.580 7.865 7.865
angles (deg): 120.00 90.00 90.00
Sites, in units of the cell vectors:
U 0.500 0.000 0.000
Br 0.234 0.832 0.664
Br 0.234 0.832 0.168
Rb 0.225 0.333 0.667
Br 0.766 0.168 0.832
Br 0.234 0.336 0.168
Cu 0.000 0.000 0.000
Br 0.766 0.664 0.832
Br 0.766 0.168 0.336
Rb 0.775 0.667 0.333

Computed properties:
Calculated total energy = -3.9596 eV per atom
Density = 4484 kg/m3
Formation energy from raw total energies = -1.224 eV/atom

No. 5
# RbUCu2Br8

An optimized crystal structure of RbUCu2Br8 (PBE, Alexandria via LeMat-Bulk).

a b c (Å): 6.785 6.785 10.339
angles (deg): 87.04 87.04 69.41
Sites, in units of the cell vectors:
Br 0.694 0.694 0.435
Br 0.750 0.247 0.189
Br 0.306 0.306 0.565
Cu 0.351 0.351 0.779
Br 0.753 0.250 0.811
U 0.000 0.000 0.000
Br 0.250 0.753 0.811
Br 0.754 0.754 0.010
Br 0.246 0.246 0.990
Rb 0.000 0.000 0.500
Cu 0.649 0.649 0.221
Br 0.247 0.750 0.189

Computed properties:
Calculated total energy = -3.7868 eV per atom
Density = 4070 kg/m3
Formation energy from raw total energies = -0.968 eV/atom

No. 6
# RbVCu2Br8

An optimized crystal structure of RbVCu2Br8 (PBE, Alexandria via LeMat-Bulk).

a b c (Å): 6.533 7.215 9.748
angles (deg): 59.24 83.26 90.00
Sites, in units of the cell vectors:
Br 0.504 0.740 0.521
V 0.000 0.000 0.000
Br 0.901 0.278 0.726
Br 0.099 0.722 0.274
Br 0.673 0.772 0.061
Br 0.172 0.805 0.884
Br 0.828 0.195 0.116
Cu 0.468 0.651 0.316
Cu 0.532 0.349 0.684
Rb 0.000 0.000 0.500
Br 0.496 0.260 0.479
Br 0.327 0.228 0.939

Computed properties:
Calculated total energy = -3.3638 eV per atom
Density = 3833 kg/m3
Formation energy from raw total energies = -0.725 eV/atom

No. 7
# RbVCuBr5

An optimized crystal structure of RbVCuBr5 (PBE, Alexandria via LeMat-Bulk).

a b c (Å): 7.527 7.527 9.700
angles (deg): 102.76 102.76 106.88
Sites, in units of the cell vectors:
Br 0.634 0.779 0.935
Cu 0.691 0.309 0.250
V 0.000 0.000 0.500
Br 0.067 0.933 0.250
Br 0.779 0.634 0.435
Br 0.933 0.067 0.750
Br 0.221 0.366 0.565
Rb 0.651 0.349 0.750
Br 0.296 0.907 0.597
V 0.000 0.000 0.000
Rb 0.349 0.651 0.250
Br 0.093 0.704 0.903
Br 0.907 0.296 0.097
Br 0.704 0.093 0.403
Br 0.366 0.221 0.065
Cu 0.309 0.691 0.750

Computed properties:
Calculated total energy = -3.7275 eV per atom
Density = 4077 kg/m3
Formation energy from raw total energies = -0.909 eV/atom

No. 8
# Rb2VCuBr6

An optimized crystal structure of Rb2VCuBr6 (PBE, Alexandria via LeMat-Bulk).

a b c (Å): 7.458 7.458 7.449
angles (deg): 59.96 59.96 90.00
Sites, in units of the cell vectors:
Br 0.254 0.254 0.491
Br 0.255 0.745 0.000
Cu 0.000 0.000 0.000
Br 0.255 0.255 0.000
Br 0.745 0.255 0.000
Rb 0.250 0.750 0.500
Br 0.745 0.745 0.000
Br 0.746 0.746 0.509
V 0.500 0.500 0.000
Rb 0.750 0.250 0.500

Computed properties:
Calculated total energy = -3.5659 eV per atom
Density = 4341 kg/m3
Formation energy from raw total energies = -1.047 eV/atom

No. 9
# RbVCuBr6

An optimized crystal structure of RbVCuBr6 (PBE, Alexandria via LeMat-Bulk).

a b c (Å): 6.672 7.190 7.618
angles (deg): 95.24 93.11 57.52
Sites, in units of the cell vectors:
Br 0.364 0.023 0.660
Br 0.609 0.042 0.273
Br 0.349 0.625 0.342
Br 0.996 0.617 0.699
Rb 0.066 0.971 0.998
V 0.352 0.324 0.497
Br 0.986 0.388 0.305
Br 0.619 0.351 0.717
Cu 0.659 0.661 0.509

Computed properties:
Calculated total energy = -3.5524 eV per atom
Density = 3675 kg/m3
Formation energy from raw total energies = -0.861 eV/atom

No. 10
# Rb3VCu2Br9

An optimized crystal structure of Rb3VCu2Br9 (PBE, Alexandria via LeMat-Bulk).

a b c (Å): 7.493 7.493 9.198
angles (deg): 90.00 90.00 120.00
Sites, in units of the cell vectors:
Br 0.323 0.162 0.659
Br 0.677 0.838 0.341
Br 0.500 0.000 0.000
Cu 0.667 0.333 0.866
Cu 0.333 0.667 0.134
Rb 0.000 0.000 0.000
Br 0.162 0.323 0.341
Br 0.162 0.838 0.341
Br 0.500 0.500 0.000
Rb 0.667 0.333 0.331
Rb 0.333 0.667 0.669
V 0.000 0.000 0.500
Br 0.838 0.677 0.659
Br 0.838 0.162 0.659
Br 0.000 0.500 0.000

Computed properties:
Calculated total energy = -3.3456 eV per atom
Density = 4284 kg/m3
Formation energy from raw total energies = -0.994 eV/atom

No. 11
# Rb2CuWBr6

An optimized crystal structure of Rb2CuWBr6 (PBE, Alexandria via LeMat-Bulk).

a b c (Å): 7.529 7.529 7.530
angles (deg): 60.00 60.00 90.00
Sites, in units of the cell vectors:
Br 0.247 0.247 0.507
Rb 0.250 0.750 0.500
Cu 0.500 0.500 0.000
Br 0.753 0.753 0.000
Br 0.753 0.247 0.000
W 0.000 0.000 0.000
Rb 0.750 0.250 0.500
Br 0.753 0.753 0.493
Br 0.247 0.247 0.000
Br 0.247 0.753 0.000

Computed properties:
Calculated total energy = -3.6941 eV per atom
Density = 4939 kg/m3
Formation energy from raw total energies = -0.792 eV/atom

No. 12
# Rb2YCu2Br6

An optimized crystal structure of Rb2YCu2Br6 (PBE, Alexandria via LeMat-Bulk).

a b c (Å): 7.838 7.717 8.626
angles (deg): 117.16 90.00 120.52
Sites, in units of the cell vectors:
Rb 0.714 0.428 0.189
Rb 0.286 0.572 0.811
Cu 0.040 0.081 0.162
Br 0.797 0.104 0.774
Br 0.307 0.104 0.774
Br 0.693 0.896 0.226
Br 0.203 0.896 0.226
Br 0.260 0.519 0.390
Br 0.740 0.481 0.610
Y 0.500 0.000 0.500
Cu 0.960 0.919 0.838

Computed properties:
Calculated total energy = -3.5955 eV per atom
Density = 3775 kg/m3
Formation energy from raw total energies = -1.175 eV/atom